A relaxed Li4Sm3Ge4 crystal. Source: the Alexandria database, functional PBE.

It has space group Immm (No. 71), with a = 4.390 Å, b = 6.802 Å, c = 14.588 Å, α = 90.00°, β = 90.00° and γ = 90.00°. The distinct sites, in fractional coordinates, are Li at (0.000, 0.190, 0.171), Sm at (0.000, 0.000, 0.370), Sm at (0.000, 0.500, 0.500), Ge at (0.000, 0.313, 0.000) and Ge at (0.000, 0.500, 0.286).

The value obtained for the density is 5.865 g cm⁻³. The value obtained for the energy is -95.38 eV/cell. The calculation puts the energy of formation from the pure elements at -673.7 meV/atom.

=====

A relaxed LiSmGe2 crystal. Source: the Alexandria database, functional PBE.

It has space group P4/mmm (No. 123), with a = 3.433 Å, b = 3.433 Å, c = 6.672 Å, α = 90.00°, β = 90.00° and γ = 90.00°. The distinct sites, in fractional coordinates, are Li at (0.000, 0.000, 0.000), Sm at (0.000, 0.000, 0.500) and Ge at (0.500, 0.500, 0.199).

The value obtained for the density is 6.391 g cm⁻³. The value obtained for the energy is -17.59 eV/cell. The calculation puts the energy of formation from the pure elements at -431.3 meV/atom.

=====

A relaxed LiSm2Ge2 crystal. Source: the Alexandria database, functional PBE.

It has space group Immm (No. 71), with a = 4.375 Å, b = 6.179 Å, c = 8.632 Å, α = 90.00°, β = 90.00° and γ = 90.00°. The distinct sites, in fractional coordinates, are Li at (0.000, 0.000, 0.000), Sm at (0.000, 0.500, 0.210) and Ge at (0.000, 0.211, 0.500).

The value obtained for the density is 6.446 g cm⁻³. The value obtained for the energy is -47.94 eV/cell. The calculation puts the energy of formation from the pure elements at -676.9 meV/atom.

=====

A relaxed LiSmGe2 crystal. Source: the Alexandria database, functional PBE.

It has space group R-3m (No. 166, hexagonal axes), with a = 4.2372 Å, b = 4.2372 Å, c = 15.3977 Å, α = 90.00°, β = 90.00° and γ = 120.00°. The distinct sites, in fractional coordinates, are Li at (0.0000, 0.0000, 0.0000), Sm at (0.0000, 0.0000, 0.5000) and Ge at (0.0000, 0.0000, 0.2837).

The value obtained for the density is 6.296 g cm⁻³. The value obtained for the energy is -53.81 eV/cell. The calculation puts the energy of formation from the pure elements at -517.3 meV/atom.

=====

A relaxed LiSmGe2 crystal. Source: the Alexandria database, functional PBE.

It has space group Pnma (No. 62), with a = 6.881 Å, b = 4.250 Å, c = 11.129 Å, α = 90.00°, β = 90.00° and γ = 90.00°. The distinct sites, in fractional coordinates, are Li at (0.140, 0.250, 0.056), Sm at (0.150, 0.250, 0.342), Ge at (0.032, 0.250, 0.838) and Ge at (0.168, 0.250, 0.626).

The value obtained for the density is 6.175 g cm⁻³. The value obtained for the energy is -73.96 eV/cell. The calculation puts the energy of formation from the pure elements at -655.7 meV/atom.

=====

A relaxed Li3SmGe3 crystal. Source: the Alexandria database, functional PBE.

It has space group Pm-3n (No. 223), with a = 6.649 Å, b = 6.649 Å, c = 6.649 Å, α = 90.00°, β = 90.00° and γ = 90.00°. The distinct sites, in fractional coordinates, are Li at (0.000, 0.250, 0.500), Sm at (0.000, 0.000, 0.000) and Ge at (0.000, 0.500, 0.250).

The value obtained for the density is 4.396 g cm⁻³. The value obtained for the energy is -46.49 eV/cell. The calculation puts the energy of formation from the pure elements at 152.4 meV/atom.

=====

A relaxed LiSm2Ge crystal. Source: the Alexandria database, functional PBE.

It has space group P4/mmm (No. 123), with a = 4.875 Å, b = 4.875 Å, c = 4.080 Å, α = 90.00°, β = 90.00° and γ = 90.00°. The distinct sites, in fractional coordinates, are Li at (0.000, 0.000, 0.000), Sm at (0.000, 0.500, 0.500) and Ge at (0.500, 0.500, 0.000).

The value obtained for the density is 6.513 g cm⁻³. The value obtained for the energy is -17.61 eV/cell. The calculation puts the energy of formation from the pure elements at -409.1 meV/atom.

=====

A relaxed LiSmGe2 crystal. Source: the Alexandria database, functional PBE.

It has space group P4/mmm (No. 123), with a = 4.362 Å, b = 4.362 Å, c = 4.253 Å, α = 90.00°, β = 90.00° and γ = 90.00°. The distinct sites, in fractional coordinates, are Li at (0.000, 0.000, 0.000), Sm at (0.500, 0.500, 0.000) and Ge at (0.000, 0.500, 0.500).

The value obtained for the density is 6.209 g cm⁻³. The value obtained for the energy is -18.01 eV/cell. The calculation puts the energy of formation from the pure elements at -536.1 meV/atom.

=====

A relaxed LiSm2Ge crystal. Source: the Alexandria database, functional PBE.

It has space group P2_1/m (No. 11), with a = 6.322 Å, b = 4.497 Å, c = 7.315 Å, α = 90.00°, β = 107.44° and γ = 90.00°. The distinct sites, in fractional coordinates, are Li at (0.105, 0.250, 0.204), Sm at (0.262, 0.750, 0.568), Sm at (0.357, 0.750, 0.100) and Ge at (0.130, 0.250, 0.806).

The value obtained for the density is 6.366 g cm⁻³. The value obtained for the energy is -35.52 eV/cell. The calculation puts the energy of formation from the pure elements at -447.9 meV/atom.

=====

A relaxed LiSm2Ge2 crystal. Source: the Alexandria database, functional PBE.

It has space group C2/c (No. 15), with a = 10.343 Å, b = 5.788 Å, c = 7.958 Å, α = 90.00°, β = 104.20° and γ = 90.00°. The distinct sites, in fractional coordinates, are Li at (0.000, 0.123, 0.250), Sm at (0.148, 0.356, 0.647) and Ge at (0.139, 0.144, 0.002).

The value obtained for the density is 6.514 g cm⁻³. The value obtained for the energy is -96.02 eV/cell. The calculation puts the energy of formation from the pure elements at -683.7 meV/atom.

=====

A relaxed LiSm2Ge3 crystal. Source: the Alexandria database, functional PBE.

It has space group Fmmm (No. 69), with a = 8.222 Å, b = 8.489 Å, c = 14.615 Å, α = 90.00°, β = 90.00° and γ = 90.00°. The distinct sites, in fractional coordinates, are Li at (0.000, 0.000, 0.166), Sm at (0.239, 0.000, 0.500), Sm at (0.250, 0.250, 0.250), Ge at (0.000, 0.000, 0.330) and Ge at (0.000, 0.240, 0.085).

The value obtained for the density is 6.845 g cm⁻³. The value obtained for the energy is -235.36 eV/cell. The calculation puts the energy of formation from the pure elements at -702.6 meV/atom.

=====

A relaxed SrLiSmGe crystal. Source: the Alexandria database, functional PBE.

It has space group F-43m (No. 216), with a = 7.514 Å, b = 7.514 Å, c = 7.514 Å, α = 90.00°, β = 90.00° and γ = 90.00°. The distinct sites, in fractional coordinates, are Sr at (0.000, 0.000, 0.000), Li at (0.250, 0.250, 0.750), Sm at (0.000, 0.000, 0.500) and Ge at (0.250, 0.250, 0.250).

The value obtained for the density is 4.971 g cm⁻³. The value obtained for the energy is -56.60 eV/cell. The calculation puts the energy of formation from the pure elements at -304.7 meV/atom.

=====

A relaxed SrLi2SmGe2 crystal. Source: the Alexandria database, functional PBE.

It has space group P-3m1 (No. 164), with a = 4.5968 Å, b = 4.5968 Å, c = 7.7043 Å, α = 90.00°, β = 90.00° and γ = 120.00°. The distinct sites, in fractional coordinates, are Sr at (0.0000, 0.0000, 0.0000), Li at (0.3333, 0.6667, 0.7067), Sm at (0.0000, 0.0000, 0.5000) and Ge at (0.3333, 0.6667, 0.2893).

The value obtained for the density is 4.678 g cm⁻³. The value obtained for the energy is -22.93 eV/cell. The calculation puts the energy of formation from the pure elements at -577.6 meV/atom.

=====

A relaxed Li2TbSmGe2 crystal. Source: the Alexandria database, functional PBE.

It has space group P-3m1 (No. 164), with a = 4.4419 Å, b = 4.4419 Å, c = 7.3210 Å, α = 90.00°, β = 90.00° and γ = 120.00°. The distinct sites, in fractional coordinates, are Li at (0.3333, 0.6667, 0.2367), Tb at (0.0000, 0.0000, 0.0000), Sm at (0.0000, 0.0000, 0.5000) and Ge at (0.3333, 0.6667, 0.7556).

The value obtained for the density is 6.218 g cm⁻³. The value obtained for the energy is -26.52 eV/cell. The calculation puts the energy of formation from the pure elements at -684.8 meV/atom.

=====

A relaxed Li2Tb2SmGe2 crystal. Source: the Alexandria database, functional PBE.

It has space group R-3m (No. 166, hexagonal axes), with a = 4.4895 Å, b = 4.4895 Å, c = 27.1417 Å, α = 90.00°, β = 90.00° and γ = 120.00°. The distinct sites, in fractional coordinates, are Li at (0.0000, 0.0000, 0.0984), Tb at (0.0000, 0.0000, 0.3728), Sm at (0.0000, 0.0000, 0.5000) and Ge at (0.0000, 0.0000, 0.2375).

The value obtained for the density is 6.597 g cm⁻³. The value obtained for the energy is -91.36 eV/cell. The calculation puts the energy of formation from the pure elements at -487.4 meV/atom.

=====

A relaxed LiTbSmGe crystal. Source: the Alexandria database, functional PBE.

It has space group F-43m (No. 216), with a = 7.190 Å, b = 7.190 Å, c = 7.190 Å, α = 90.00°, β = 90.00° and γ = 90.00°. The distinct sites, in fractional coordinates, are Li at (0.000, 0.000, 0.000), Tb at (0.250, 0.250, 0.750), Sm at (0.250, 0.250, 0.250) and Ge at (0.000, 0.000, 0.500).

The value obtained for the density is 6.950 g cm⁻³. The value obtained for the energy is -70.27 eV/cell. The calculation puts the energy of formation from the pure elements at -421.9 meV/atom.

=====

A relaxed Li2SmTm2Ge2 crystal. Source: the Alexandria database, functional PBE.

It has space group R-3m (No. 166, hexagonal axes), with a = 4.4838 Å, b = 4.4838 Å, c = 26.3903 Å, α = 90.00°, β = 90.00° and γ = 120.00°. The distinct sites, in fractional coordinates, are Li at (0.0000, 0.0000, 0.0945), Sm at (0.0000, 0.0000, 0.5000), Tm at (0.0000, 0.0000, 0.3717) and Ge at (0.0000, 0.0000, 0.2404).

The value obtained for the density is 7.019 g cm⁻³. The value obtained for the energy is -90.19 eV/cell. The calculation puts the energy of formation from the pure elements at -476.8 meV/atom.

=====

A relaxed Li2SmYGe2 crystal. Source: the Alexandria database, functional PBE.

It has space group P-3m1 (No. 164), with a = 4.4367 Å, b = 4.4367 Å, c = 7.3049 Å, α = 90.00°, β = 90.00° and γ = 120.00°. The distinct sites, in fractional coordinates, are Li at (0.3333, 0.6667, 0.2330), Sm at (0.0000, 0.0000, 0.5000), Y at (0.0000, 0.0000, 0.0000) and Ge at (0.3333, 0.6667, 0.7559).

The value obtained for the density is 5.313 g cm⁻³. The value obtained for the energy is -28.42 eV/cell. The calculation puts the energy of formation from the pure elements at -696.3 meV/atom.

=====

A relaxed Li3Sm2ZnGe4 crystal. Source: the Alexandria database, functional PBE.

It has space group P-4m2 (No. 115), with a = 4.125 Å, b = 4.125 Å, c = 10.793 Å, α = 90.00°, β = 90.00° and γ = 90.00°. The distinct sites, in fractional coordinates, are Li at (0.000, 0.000, 0.000), Li at (0.000, 0.500, 0.633), Sm at (0.000, 0.500, 0.255), Zn at (0.500, 0.500, 0.000), Ge at (0.000, 0.000, 0.500), Ge at (0.000, 0.500, 0.856) and Ge at (0.500, 0.500, 0.500).

The value obtained for the density is 6.125 g cm⁻³. The value obtained for the energy is -40.39 eV/cell. The calculation puts the energy of formation from the pure elements at -546.6 meV/atom.

=====

A relaxed LiSmZn2Ge2 crystal. Source: the Alexandria database, functional PBE.

It has space group P-3m1 (No. 164), with a = 4.2828 Å, b = 4.2828 Å, c = 6.9381 Å, α = 90.00°, β = 90.00° and γ = 120.00°. The distinct sites, in fractional coordinates, are Li at (0.0000, 0.0000, 0.0000), Sm at (0.0000, 0.0000, 0.5000), Zn at (0.3333, 0.6667, 0.1730) and Ge at (0.3333, 0.6667, 0.7580).

The value obtained for the density is 6.530 g cm⁻³. The value obtained for the energy is -21.40 eV/cell. The calculation puts the energy of formation from the pure elements at -497.4 meV/atom.